No. 1
Entry from Alexandria: La2AgHg2 after structural relaxation (PBE).

Calculated values
The formation enthalpy at 0 K is -0.3526 eV per atom. The value obtained for the distance to the lowest polymorph of the same formula is 0.0486 eV per atom. As for the space group: No. 12. The total moment is 0.000 μB per atom.

Cell lengths 4.546, 6.106, 11.495 Å; angles 73.16, 78.59, 68.14 degrees
Sites, in units of the cell vectors:
La  0.397  0.811  0.895
La  0.897  0.311  0.395
La  0.603  0.189  0.105
La  0.103  0.689  0.605
Ag  0.250  0.750  0.250
Ag  0.750  0.250  0.750
Hg  0.386  0.116  0.613
Hg  0.114  0.384  0.887
Hg  0.614  0.884  0.387
Hg  0.886  0.616  0.113

No. 2
Entry from Alexandria: La4Ag3Hg after structural relaxation (PBE).

Calculated values
The formation enthalpy at 0 K is -0.3008 eV per atom. The value obtained for the distance to the lowest polymorph of the same formula is 0.0167 eV per atom. As for the space group: No. 25. The total moment is 0.000 μB per atom.

Cell lengths 3.981, 4.982, 11.810 Å; angles 90.00, 90.00, 90.00 degrees
Sites, in units of the cell vectors:
La  0.500  0.500  0.361
La  0.000  0.500  0.852
La  0.000  0.000  0.146
La  0.500  0.000  0.641
Ag  0.000  0.500  0.576
Ag  0.000  0.000  0.426
Ag  0.500  0.000  0.920
Hg  0.500  0.500  0.079

No. 3
Entry from Alexandria: La2AgHg6 after structural relaxation (PBE).

Calculated values
The formation enthalpy at 0 K is -0.3241 eV per atom. As for the space group: No. 12. The total moment is 0.000 μB per atom.

Cell lengths 5.719, 6.859, 6.859 Å; angles 60.06, 90.06, 90.06 degrees
Sites, in units of the cell vectors:
La  0.806  0.667  0.667
La  0.194  0.333  0.333
Ag  0.000  0.000  0.000
Hg  0.310  0.364  0.818
Hg  0.310  0.818  0.818
Hg  0.310  0.818  0.364
Hg  0.690  0.636  0.182
Hg  0.690  0.182  0.182
Hg  0.690  0.182  0.636

No. 4
Entry from Alexandria: LaAg3Hg after structural relaxation (PBE).

Calculated values
The formation enthalpy at 0 K is -0.1724 eV per atom. The value obtained for the distance to the lowest polymorph of the same formula is 0.0000 eV per atom. As for the space group: No. 8. The total moment is 0.000 μB per atom.

Cell lengths 4.201, 4.208, 7.342 Å; angles 73.33, 73.36, 90.14 degrees
Sites, in units of the cell vectors:
La  0.393  0.196  0.919
Ag  0.657  0.959  0.394
Ag  0.155  0.460  0.394
Ag  0.795  0.598  0.114
Hg  0.009  0.812  0.690

No. 5
Entry from Alexandria: LaAg2Hg3 after structural relaxation (PBE).

Calculated values
The formation enthalpy at 0 K is -0.2255 eV per atom. As for the space group: No. 194. The total moment is 0.000 μB per atom.

Cell lengths 4.921, 4.921, 13.742 Å; angles 90.00, 90.00, 120.00 degrees
Sites, in units of the cell vectors:
La  0.000  0.000  0.250
La  0.000  0.000  0.750
Ag  0.667  0.333  0.402
Ag  0.333  0.667  0.598
Ag  0.333  0.667  0.902
Ag  0.667  0.333  0.098
Hg  0.000  0.000  0.500
Hg  0.000  0.000  0.000
Hg  0.667  0.333  0.629
Hg  0.333  0.667  0.129
Hg  0.667  0.333  0.871
Hg  0.333  0.667  0.371

No. 6
Entry from Alexandria: La2AgHg2 after structural relaxation (PBE).

Calculated values
The formation enthalpy at 0 K is -0.3525 eV per atom. The value obtained for the distance to the lowest polymorph of the same formula is 0.0487 eV per atom. As for the space group: No. 127. The total moment is 0.000 μB per atom.

Cell lengths 7.888, 7.888, 4.583 Å; angles 90.00, 90.00, 90.00 degrees
Sites, in units of the cell vectors:
Hg  0.361  0.861  0.000
Hg  0.861  0.639  0.000
Hg  0.639  0.139  0.000
Hg  0.139  0.361  0.000
Ag  0.000  0.000  0.000
Ag  0.500  0.500  0.000
La  0.163  0.663  0.500
La  0.663  0.837  0.500
La  0.837  0.337  0.500
La  0.337  0.163  0.500

No. 7
Entry from Alexandria: La4AgHg after structural relaxation (PBE).

Calculated values
The formation enthalpy at 0 K is -0.2391 eV per atom. The value obtained for the distance to the lowest polymorph of the same formula is 0.0000 eV per atom. As for the space group: No. 123. The total moment is 0.247 μB per atom.

Cell lengths 3.863, 3.863, 12.761 Å; angles 90.00, 90.00, 90.00 degrees
Site moments in Bohr magnetons follow the coordinates.
Sites, in units of the cell vectors:
La  0.500  0.500  0.854  0.16
La  0.500  0.500  0.146  0.16
La  0.000  0.000  0.654  0.17
La  0.000  0.000  0.346  0.17
Ag  0.000  0.000  0.000  0.00
Hg  0.500  0.500  0.500  -0.02

No. 8
Entry from Alexandria: La4Ag3Hg2 after structural relaxation (PBE).

Calculated values
The formation enthalpy at 0 K is -0.3211 eV per atom. As for the space group: No. 12. The total moment is 0.000 μB per atom.

Cell lengths 5.149, 5.874, 9.285 Å; angles 80.94, 90.00, 64.00 degrees
Sites, in units of the cell vectors:
La  0.649  0.701  0.911
La  0.073  0.853  0.348
La  0.927  0.147  0.652
La  0.351  0.299  0.089
Ag  0.373  0.254  0.432
Ag  0.000  0.000  0.000
Ag  0.627  0.746  0.568
Hg  0.248  0.504  0.721
Hg  0.752  0.496  0.279

Number 1 is which compound? La2AgHg2

Which value of total moment does entry 3 give? 0.000 μB per atom

Which value of formation enthalpy at 0 K does entry 7 give? -0.2391 eV per atom